# 1
SrTa2Bi2O9 PBE relaxed; SG = Cmc2_1, No. 36; E = -0.293 hartree per atom
1.0
-12.020 3.642 2.406
-9.925 2.954 7.504
1.619 5.311 0.051
Bi O Sr Ta
4 18 2 4
direct
0.581 0.020 0.290
0.980 0.419 0.290
0.020 0.581 0.790
0.419 0.980 0.790
0.261 0.243 0.065
0.757 0.739 0.065
0.407 0.421 0.102
0.579 0.593 0.102
0.062 0.073 0.117
0.927 0.938 0.117
0.298 0.702 0.362
0.021 0.662 0.374
0.338 0.979 0.374
0.243 0.261 0.565
0.739 0.757 0.565
0.421 0.407 0.602
0.593 0.579 0.602
0.073 0.062 0.617
0.938 0.927 0.617
0.702 0.298 0.862
0.662 0.021 0.874
0.979 0.338 0.874
0.748 0.252 0.364
0.252 0.748 0.864
0.163 0.669 0.358
0.331 0.837 0.358
0.669 0.163 0.858
0.837 0.331 0.858

=====

# 2
AcYNp PBE relaxed; SG = F-43m, No. 216; E = -0.242 hartree per atom; energy relative to the elements = 1.1941 eV/atom
1.0
0.000 3.902 3.902
3.902 0.000 3.902
3.902 3.902 0.000
Ac Np Y
1 1 1
direct
0.250 0.250 0.250
0.750 0.750 0.750
0.000 0.000 0.000

=====

# 3
Ho3Mg3TlPt2 PBE relaxed; SG = P-62m, No. 189; E = -0.159 hartree per atom
1.0
7.436 0.000 0.000
-3.718 6.439 0.000
0.000 0.000 4.217
Ho Mg Pt Tl
3 3 2 1
direct
0.425 0.000 0.000
0.000 0.425 0.000
0.575 0.575 0.000
0.739 0.000 0.500
0.261 0.261 0.500
0.000 0.739 0.500
0.667 0.333 0.500
0.333 0.667 0.500
0.000 0.000 0.000

=====

# 4
TbDy3Pb2N2 PBE relaxed; SG = P3m1, No. 156; E = -0.236 hartree per atom
1.0
-0.185 3.233 -1.457
-2.859 -1.408 1.568
4.323 6.383 13.617
Dy N Pb Tb
3 2 2 1
direct
0.000 0.000 0.417
0.333 0.667 0.583
0.333 0.667 0.917
0.667 0.333 0.500
0.667 0.333 0.999
0.333 0.667 0.251
0.000 0.000 0.750
0.000 0.000 0.084